1.
# Li5Cd2Ag2 (PBE, relaxed)
data_Li5Cd2Ag2
_chemical_formula_sum 'Li20 Cd8 Ag8'
_cell_length_a 5.832
_cell_length_b 8.315
_cell_length_c 13.976
_cell_angle_alpha 90.00
_cell_angle_beta 90.00
_cell_angle_gamma 90.00
_space_group_name_H-M_alt 'F m m m'
_space_group_IT_number 69
_space_group_name_Hall '-F 2 2'
loop_
_atom_site_label
_atom_site_fract_x
_atom_site_fract_y
_atom_site_fract_z
Li1 0.000 0.000 0.000
Li2 0.250 0.250 0.150
Cd1 0.000 0.000 0.258
Ag1 0.000 0.165 0.500
# - Density: 4.66 g cm⁻³
# - V: 678 Å³ per cell
# - M_tot: 0.0 Bohr magnetons per cell
# - Distance to the lowest polymorph of the same formula: 0.0000 eV/atom

2.
# LiCd3Ag (PBE, relaxed)
data_LiCd3Ag
_chemical_formula_sum 'Li1 Cd3 Ag1'
_cell_length_a 5.276
_cell_length_b 5.276
_cell_length_c 5.276
_cell_angle_alpha 90.00
_cell_angle_beta 90.00
_cell_angle_gamma 90.00
_space_group_name_H-M_alt 'P m -3 m'
_space_group_IT_number 221
_space_group_name_Hall '-P 4 2 3'
loop_
_atom_site_label
_atom_site_fract_x
_atom_site_fract_y
_atom_site_fract_z
Li1 0.000 0.000 0.000
Cd1 0.000 0.500 0.500
Ag1 0.500 0.500 0.500
# - Density: 5.11 g cm⁻³
# - V: 147 Å³ per cell
# - M_tot: 0.0 Bohr magnetons per cell
# - Distance to the lowest polymorph of the same formula: 0.3559 eV/atom

3.
# Li2Cd6Ag (PBE, relaxed)
data_Li2Cd6Ag
_chemical_formula_sum 'Li4 Cd12 Ag2'
_cell_length_a 14.488
_cell_length_b 3.018
_cell_length_c 10.348
_cell_angle_alpha 90.00
_cell_angle_beta 123.80
_cell_angle_gamma 90.00
_space_group_name_H-M_alt 'C 1 2/m 1'
_space_group_IT_number 12
_space_group_name_Hall '-C 2y'
loop_
_atom_site_label
_atom_site_fract_x
_atom_site_fract_y
_atom_site_fract_z
Li1 0.157 0.000 0.290
Cd1 0.043 0.500 0.755
Cd2 0.126 0.000 0.546
Cd3 0.228 0.500 0.111
Ag1 0.000 0.500 0.000
# - Density: 7.03 g cm⁻³
# - V: 376 Å³ per cell
# - M_tot: 0.0 Bohr magnetons per cell
# - Distance to the lowest polymorph of the same formula: 0.0507 eV/atom

4.
# LiCd3Ag8 (PBE, relaxed)
data_LiCd3Ag8
_chemical_formula_sum 'Li2 Cd6 Ag16'
_cell_length_a 7.202
_cell_length_b 7.202
_cell_length_c 10.177
_cell_angle_alpha 90.00
_cell_angle_beta 90.00
_cell_angle_gamma 90.00
_space_group_name_H-M_alt 'I -4 2 m'
_space_group_IT_number 121
_space_group_name_Hall 'I -4 2'
loop_
_atom_site_label
_atom_site_fract_x
_atom_site_fract_y
_atom_site_fract_z
Li1 0.000 0.000 0.000
Cd1 0.000 0.000 0.500
Cd2 0.000 0.500 0.250
Ag1 0.139 0.139 0.797
Ag2 0.229 0.229 0.065
# - Final energy: -0.15248 Ry/atom
# - Density: 7.60 g cm⁻³
# - V: 528 Å³ per cell
# - M_tot: 0.0 Bohr magnetons per cell

5.
# Li5Cd4Ag2 (PBE, relaxed)
data_Li5Cd4Ag2
_chemical_formula_sum 'Li5 Cd4 Ag2'
_cell_length_a 7.309
_cell_length_b 2.972
_cell_length_c 9.588
_cell_angle_alpha 90.00
_cell_angle_beta 92.94
_cell_angle_gamma 90.00
_space_group_name_H-M_alt 'P 1 2/m 1'
_space_group_IT_number 10
_space_group_name_Hall '-P 2y'
loop_
_atom_site_label
_atom_site_fract_x
_atom_site_fract_y
_atom_site_fract_z
Li1 0.000 0.000 0.000
Li2 0.073 0.000 0.303
Li3 0.309 0.000 0.835
Cd1 0.211 0.500 0.566
Cd2 0.330 0.500 0.099
Ag1 0.434 0.000 0.357
# - Density: 5.59 g cm⁻³
# - V: 208 Å³ per cell
# - M_tot: 0.0 Bohr magnetons per cell
# - Distance to the lowest polymorph of the same formula: 0.0000 eV/atom

6.
# Li2Cd6Ag (PBE, relaxed)
data_Li2Cd6Ag
_chemical_formula_sum 'Li4 Cd12 Ag2'
_cell_length_a 9.199
_cell_length_b 4.482
_cell_length_c 8.980
_cell_angle_alpha 90.00
_cell_angle_beta 104.24
_cell_angle_gamma 90.00
_space_group_name_H-M_alt 'C 1 2/m 1'
_space_group_IT_number 12
_space_group_name_Hall '-C 2y'
loop_
_atom_site_label
_atom_site_fract_x
_atom_site_fract_y
_atom_site_fract_z
Li1 0.168 0.000 0.218
Cd1 0.005 0.500 0.324
Cd2 0.164 0.000 0.895
Cd3 0.167 0.000 0.560
Ag1 0.000 0.500 0.000
# - Density: 7.37 g cm⁻³
# - V: 359 Å³ per cell
# - M_tot: 0.0 Bohr magnetons per cell
# - Distance to the lowest polymorph of the same formula: 0.0000 eV/atom

7.
# LiCd4Ag5 (PBE, relaxed)
data_LiCd4Ag5
_chemical_formula_sum 'Li1 Cd4 Ag5'
_cell_length_a 5.011
_cell_length_b 5.837
_cell_length_c 6.962
_cell_angle_alpha 76.08
_cell_angle_beta 74.67
_cell_angle_gamma 78.19
_space_group_name_H-M_alt 'P -1'
_space_group_IT_number 2
_space_group_name_Hall '-P 1'
loop_
_atom_site_label
_atom_site_fract_x
_atom_site_fract_y
_atom_site_fract_z
Li1 0.000 0.000 0.000
Cd1 0.195 0.301 0.610
Cd2 0.396 0.105 0.196
Ag1 0.000 0.500 0.000
Ag2 0.202 0.802 0.602
Ag3 0.401 0.601 0.197
# - Density: 8.78 g cm⁻³
# - V: 188 Å³ per cell
# - M_tot: 0.0 Bohr magnetons per cell
# - Distance to the lowest polymorph of the same formula: 0.0000 eV/atom

8.
# Li2Cd2Ag (PBE, relaxed)
data_Li2Cd2Ag
_chemical_formula_sum 'Li4 Cd4 Ag2'
_cell_length_a 3.657
_cell_length_b 3.657
_cell_length_c 14.790
_cell_angle_alpha 90.00
_cell_angle_beta 90.00
_cell_angle_gamma 90.00
_space_group_name_H-M_alt 'I 4/m m m'
_space_group_IT_number 139
_space_group_name_Hall '-I 4 2'
loop_
_atom_site_label
_atom_site_fract_x
_atom_site_fract_y
_atom_site_fract_z
Li1 0.000 0.500 0.250
Cd1 0.000 0.000 0.103
Ag1 0.000 0.000 0.500
# - Density: 5.82 g cm⁻³
# - V: 198 Å³ per cell
# - M_tot: 0.0 Bohr magnetons per cell
# - Distance to the lowest polymorph of the same formula: 0.1996 eV/atom

9.
# LiCd2Ag8 (PBE, relaxed)
data_LiCd2Ag8
_chemical_formula_sum 'Li2 Cd4 Ag16'
_cell_length_a 7.652
_cell_length_b 13.098
_cell_length_c 5.088
_cell_angle_alpha 90.00
_cell_angle_beta 123.53
_cell_angle_gamma 90.00
_space_group_name_H-M_alt 'C 1 2/m 1'
_space_group_IT_number 12
_space_group_name_Hall '-C 2y'
loop_
_atom_site_label
_atom_site_fract_x
_atom_site_fract_y
_atom_site_fract_z
Li1 0.000 0.000 0.000
Cd1 0.000 0.306 0.500
Ag1 0.000 0.204 0.000
Ag2 0.093 0.500 0.816
Ag3 0.213 0.113 0.632
# - Density: 8.55 g cm⁻³
# - V: 425 Å³ per cell
# - M_tot: 0.0 Bohr magnetons per cell
# - Distance to the lowest polymorph of the same formula: 0.1000 eV/atom

10.
# Li3Cd6Ag (PBE, relaxed)
data_Li3Cd6Ag
_chemical_formula_sum 'Li6 Cd12 Ag2'
_cell_length_a 8.112
_cell_length_b 4.888
_cell_length_c 10.446
_cell_angle_alpha 90.00
_cell_angle_beta 109.20
_cell_angle_gamma 90.00
_space_group_name_H-M_alt 'P 1 21/m 1'
_space_group_IT_number 11
_space_group_name_Hall '-P 2yb'
loop_
_atom_site_label
_atom_site_fract_x
_atom_site_fract_y
_atom_site_fract_z
Li1 0.091 0.250 0.232
Li2 0.298 0.250 0.028
Li3 0.308 0.750 0.371
Cd1 0.083 0.250 0.727
Cd2 0.100 0.750 0.068
Cd3 0.288 0.250 0.522
Cd4 0.298 0.750 0.863
Cd5 0.488 0.250 0.332
Cd6 0.491 0.750 0.163
Ag1 0.103 0.750 0.565
# - Density: 6.82 g cm⁻³
# - V: 391 Å³ per cell
# - M_tot: 0.0 Bohr magnetons per cell
# - Distance to the lowest polymorph of the same formula: 0.0000 eV/atom

11.
# Li2CdAg2 (PBE, relaxed)
data_Li2CdAg2
_chemical_formula_sum 'Li4 Cd2 Ag4'
_cell_length_a 7.921
_cell_length_b 4.607
_cell_length_c 5.344
_cell_angle_alpha 90.00
_cell_angle_beta 118.86
_cell_angle_gamma 90.00
_space_group_name_H-M_alt 'C 1 2/m 1'
_space_group_IT_number 12
_space_group_name_Hall '-C 2y'
loop_
_atom_site_label
_atom_site_fract_x
_atom_site_fract_y
_atom_site_fract_z
Li1 0.096 0.000 0.286
Cd1 0.000 0.500 0.500
Ag1 0.208 0.500 0.124
# - Density: 6.65 g cm⁻³
# - V: 171 Å³ per cell
# - M_tot: 0.0 Bohr magnetons per cell
# - Distance to the lowest polymorph of the same formula: 0.0000 eV/atom

12.
# Li2CdAg6 (PBE, relaxed)
data_Li2CdAg6
_chemical_formula_sum 'Li4 Cd2 Ag12'
_cell_length_a 9.590
_cell_length_b 7.635
_cell_length_c 4.919
_cell_angle_alpha 90.00
_cell_angle_beta 102.27
_cell_angle_gamma 90.00
_space_group_name_H-M_alt 'C 1 2/m 1'
_space_group_IT_number 12
_space_group_name_Hall '-C 2y'
loop_
_atom_site_label
_atom_site_fract_x
_atom_site_fract_y
_atom_site_fract_z
Li1 0.177 0.000 0.329
Cd1 0.000 0.500 0.500
Ag1 0.088 0.184 0.787
Ag2 0.153 0.500 0.083
# - Density: 7.30 g cm⁻³
# - V: 352 Å³ per cell
# - M_tot: 0.0 Bohr magnetons per cell
# - Distance to the lowest polymorph of the same formula: 0.0795 eV/atom